The following is a DFT calculation (GGA-PBE) of a relaxed structure of Zr3Co6Si2.

abc: 8.4352 8.4352 8.4352
angles: 90.00 90.00 90.00
With the nearest neighbours (Å) after each atom.
Space group Im-3m (No. 229)
Asymmetric unit:
Zr1 0.0000 0.0000 0.2795 x12  4 Co 2.63
Co1 0.0000 0.3442 0.3442 x24  2 Si 2.39, 6 Co 2.45-2.63, 2 Zr 2.63
Si1 0.2500 0.2500 0.2500 x8  6 Co 2.39

Results
E: -7.788 eV/atom